# YAlIr3 | Alexandria | PBE-GGA | relaxed
data_YAlIr3
_symmetry_space_group_name_H-M 'P m -3 m'
_symmetry_Int_Tables_number 221
_symmetry_space_group_name_Hall '-P 4 2 3'
_cell_length_a 4.932
_cell_length_b 4.932
_cell_length_c 4.932
_cell_angle_alpha 90.00
_cell_angle_beta 90.00
_cell_angle_gamma 90.00
loop_
_atom_site_label
_atom_site_fract_x
_atom_site_fract_y
_atom_site_fract_z
Y1 0.000 0.000 0.000
Al1 0.500 0.500 0.500
Ir1 0.000 0.000 0.500
# crystal system: cubic
# formation energy: 909 kJ/mol of formula units
# electronic total energy: -5.4729 eV/atom
# ρ: 9.58 Mg/m³
# total magnetic moment: 0.19 μB/atom
# polymorph energy (0 for the lowest one): 9.52 eV/f.u.